w) A plane-wave DFT calculation with SCAN was carried out for a PBEsol-optimized structure of K2RbAg2.

a = 5.280 Å, b = 5.280 Å, c = 8.070 Å
α = 109.09°, β = 109.09°, γ = 90.00°
Sites, in units of the cell vectors:
K: 0.750 0.250 0.500
K: 0.250 0.750 0.500
Ag: 0.594 0.594 0.189
Ag: 0.406 0.406 0.811
Rb: 0.000 0.000 0.000


x) A plane-wave DFT calculation with SCAN was carried out for a PBEsol-optimized structure of K2RbAg2.

a = 4.872 Å, b = 8.918 Å, c = 8.918 Å
α = 90.00°, β = 90.00°, γ = 90.00°
Sites, in units of the cell vectors:
Ag: 0.000 0.890 0.610
Ag: 0.000 0.390 0.890
Ag: 0.000 0.110 0.390
Ag: 0.000 0.610 0.110
K: 0.500 0.663 0.837
K: 0.500 0.337 0.163
K: 0.500 0.163 0.663
K: 0.500 0.837 0.337
Rb: 0.000 0.000 0.000
Rb: 0.000 0.500 0.500


Stability, highest: x)


w) A plane-wave DFT calculation with SCAN was carried out for a PBEsol-optimized structure of KRe2Ag.

a = 3.018 Å, b = 3.018 Å, c = 8.873 Å
α = 90.00°, β = 90.00°, γ = 90.00°
Sites, in units of the cell vectors:
K: 0.500 0.500 0.751
Ag: 0.000 0.000 0.450
Re: 0.500 0.500 0.225
Re: 0.000 0.000 0.075


x) A plane-wave DFT calculation with SCAN was carried out for a PBEsol-optimized structure of KRe2Ag.

a = 2.662 Å, b = 4.845 Å, c = 5.506 Å
α = 90.00°, β = 90.00°, γ = 90.00°
Sites, in units of the cell vectors:
Ag: 0.500 0.000 0.500
K: 0.000 0.500 0.500
Re: 0.000 0.000 0.000
Re: 0.500 0.500 0.000


y) A plane-wave DFT calculation with SCAN was carried out for a PBEsol-optimized structure of KRe2Ag.

a = 3.718 Å, b = 3.718 Å, c = 5.926 Å
α = 108.28°, β = 108.28°, γ = 90.00°
Sites, in units of the cell vectors:
K: 0.000 0.000 0.000
Ag: 0.500 0.500 0.000
Re: 0.750 0.250 0.500
Re: 0.250 0.750 0.500


Stability, highest: w)


w) A plane-wave DFT calculation with SCAN was carried out for a PBEsol-optimized structure of KRe2Ag.

a = 2.607 Å, b = 5.113 Å, c = 6.002 Å
α = 113.02°, β = 98.55°, γ = 99.25°
Sites, in units of the cell vectors:
K: 0.000 0.500 0.000
Re: 0.000 0.000 0.500
Re: 0.500 0.500 0.500
Ag: 0.500 0.000 0.000


x) A plane-wave DFT calculation with SCAN was carried out for a PBEsol-optimized structure of KRe2Ag.

a = 3.111 Å, b = 5.479 Å, c = 5.870 Å
α = 117.82°, β = 105.37°, γ = 90.00°
Sites, in units of the cell vectors:
Re: 0.055 0.055 0.109
Re: 0.726 0.226 0.453
K: 0.254 0.754 0.507
Ag: 0.465 0.465 0.931


Stability, highest: w)


w) A plane-wave DFT calculation with SCAN was carried out for a PBEsol-optimized structure of KReAg2.

a = 2.658 Å, b = 5.216 Å, c = 6.266 Å
α = 114.60°, β = 102.25°, γ = 90.00°
Each line ends with the local moment (μB).
Sites, in units of the cell vectors:
Ag: 0.999 0.999 0.998  0.01
Ag: 0.726 0.226 0.452  0.01
K: 0.496 0.496 0.992  0.00
Re: 0.279 0.779 0.558  0.69


x) A plane-wave DFT calculation with SCAN was carried out for a PBEsol-optimized structure of KReAg2.

a = 2.719 Å, b = 2.719 Å, c = 10.429 Å
α = 90.00°, β = 90.00°, γ = 108.70°
Sites, in units of the cell vectors:
K: 0.000 0.000 0.496
Ag: 0.000 0.000 0.002
Ag: 0.500 0.500 0.779
Re: 0.500 0.500 0.223


Stability, highest: x)


w) A plane-wave DFT calculation with SCAN was carried out for a PBEsol-optimized structure of KReAg.

a = 2.596 Å, b = 5.182 Å, c = 5.182 Å
α = 120.00°, β = 90.00°, γ = 90.00°
Each line ends with the local moment (μB).
Sites, in units of the cell vectors:
Ag: 0.970 0.000 0.000  0.00
K: 0.692 0.333 0.667  0.03
Re: 0.338 0.667 0.333  1.35


x) A plane-wave DFT calculation with SCAN was carried out for a PBEsol-optimized structure of KReAg.

a = 2.624 Å, b = 4.468 Å, c = 6.488 Å
α = 110.14°, β = 101.66°, γ = 90.00°
Each line ends with the local moment (μB).
Sites, in units of the cell vectors:
Re: 0.387 0.387 0.774  0.18
K: 0.665 0.665 0.331  0.00
Ag: 0.948 0.948 0.895  0.02


Stability, highest: x)


w) A plane-wave DFT calculation with SCAN was carried out for a PBEsol-optimized structure of KAgRh2.

a = 2.723 Å, b = 4.860 Å, c = 5.820 Å
α = 111.27°, β = 103.53°, γ = 90.00°
Sites, in units of the cell vectors:
K: 0.500 0.000 0.000
Rh: 0.272 0.276 0.543
Rh: 0.728 0.724 0.457
Ag: 0.000 0.500 0.000


x) A plane-wave DFT calculation with SCAN was carried out for a PBEsol-optimized structure of KAgRh2.

a = 2.795 Å, b = 3.660 Å, c = 7.710 Å
α = 90.00°, β = 90.00°, γ = 90.00°
Each line ends with the local moment (μB).
Sites, in units of the cell vectors:
Rh: 0.000 0.000 0.083  0.41
Rh: 0.500 0.500 0.216  0.35
K: 0.500 0.500 0.765  0.00
Ag: 0.000 0.000 0.436  0.00


Stability, highest: x)